# 1
Entry from Alexandria via LeMat-Bulk: Tb12Sm7Tm after structural relaxation (PBE).

Calculated values
Its total magnetization is 0.0 μB/f.u. Its density of states at the Fermi level is 110.33 states/eV/cell. The density is 7.73 g cm⁻³. The calculation puts the formation energy at 235 meV/atom.

CIF file:
```
data_Tb12Sm7Tm
_symmetry_space_group_name_H-M 'R -3'
_symmetry_Int_Tables_number 148
_symmetry_space_group_name_Hall '-R 3'
_cell_length_a 11.9972
_cell_length_b 11.9972
_cell_length_c 16.1730
_cell_angle_alpha 90.00
_cell_angle_beta 90.00
_cell_angle_gamma 120.00
loop_
_atom_site_label
_atom_site_type_symbol
_atom_site_fract_x
_atom_site_fract_y
_atom_site_fract_z
_atom_site_occupancy
Tb1 Tb 0.0258 0.5747 0.2223 1
Tb2 Tb 0.0518 0.4657 0.5825 1
Sm1 Sm 0.0000 0.0000 0.0000 1
Sm2 Sm 0.0567 0.8679 0.2904 1
Tm1 Tm 0.0000 0.0000 0.5000 1
```

# 2
Entry from Alexandria via LeMat-Bulk: Tb4Sm5Tm after structural relaxation (PBE).

Calculated values
Its total magnetization is 0.0 μB/f.u. Its density of states at the Fermi level is 28.67 states/eV/cell. The density is 7.68 g cm⁻³. The calculation puts the formation energy at 258 meV/atom.

CIF file:
```
data_Tb4Sm5Tm
_symmetry_space_group_name_H-M 'I 4 m m'
_symmetry_Int_Tables_number 107
_symmetry_space_group_name_Hall 'I 4 -2'
_cell_length_a 10.585
_cell_length_b 10.585
_cell_length_c 6.005
_cell_angle_alpha 90.00
_cell_angle_beta 90.00
_cell_angle_gamma 90.00
loop_
_atom_site_label
_atom_site_type_symbol
_atom_site_fract_x
_atom_site_fract_y
_atom_site_fract_z
_atom_site_occupancy
Tb1 Tb 0.000 0.324 0.000 1
Sm1 Sm 0.000 0.000 0.244 1
Sm2 Sm 0.189 0.189 0.514 1
Tm1 Tm 0.000 0.000 0.775 1
```

Record order is preserved below.
Distance to the lowest polymorph of the same formula: 0.00; 2.42 eV per formula unit